# 1
A relaxed Ta8Nb2Rh crystal, computed with GGA-PBE.

Cell lengths 4.835, 8.326, 8.326 Å; angles 38.36, 93.77, 93.77 degrees
Element x y z (fractional)
Ta 0.237 0.549 0.549
Ta 0.763 0.451 0.451
Ta 0.238 0.172 0.172
Ta 0.721 0.371 0.863
Ta 0.721 0.863 0.371
Ta 0.279 0.629 0.137
Ta 0.762 0.828 0.828
Ta 0.279 0.137 0.629
Nb 0.769 0.279 0.279
Rh 0.000 0.000 0.000
Nb 0.231 0.721 0.721

E above lowest polymorph, eV/f.u.: 0.796
Symmetry: C2/m
ΔE_f, kJ/mol of atoms: 21.0


# 2
A relaxed Pr3NdIr crystal, computed with GGA-PBE.

Cell lengths 5.675, 5.675, 5.675 Å; angles 90.00, 90.00, 90.00 degrees
Element x y z (fractional)
Ir 0.000 0.000 0.000
Pr 0.500 0.000 0.000
Nd 0.500 0.500 0.500
Pr 0.000 0.000 0.500
Pr 0.000 0.500 0.000

E above lowest polymorph, eV/f.u.: 0.492
Symmetry: Pm-3m
ΔE_f, kJ/mol of atoms: -12.7


# 3
A relaxed ZrAgP2 crystal, computed with GGA-PBE.

Cell lengths 6.942, 6.942, 5.797 Å; angles 53.22, 53.22, 90.00 degrees
Element x y z (fractional)
Ag 0.750 0.250 0.500
P 0.637 0.125 0.250
Zr 0.500 0.500 0.000
Zr 0.250 0.750 0.500
P 0.375 0.363 0.750
P 0.113 0.625 0.250
P 0.875 0.887 0.750
Ag 0.000 0.000 0.000

E above lowest polymorph, eV/f.u.: 1.178
Symmetry: I-42d
ΔE_f, kJ/mol of atoms: -16.1


# 4
A relaxed CeSmLu2 crystal, computed with GGA-PBE.

Cell lengths 4.862, 5.010, 5.010 Å; angles 90.00, 90.00, 90.00 degrees
Element x y z (fractional)
Ce 0.500 0.500 0.500
Lu 0.000 0.500 0.000
Lu 0.000 0.000 0.500
Sm 0.500 0.000 0.000

E above lowest polymorph, eV/f.u.: 0.031
Symmetry: P4/mmm
ΔE_f, kJ/mol of atoms: 6.7


# 5
A relaxed Ac2PrDyHo crystal, computed with GGA-PBE.

Cell lengths 6.686, 9.041, 6.469 Å; angles 90.00, 90.00, 90.00 degrees
Element x y z (fractional)
Pr 0.422 0.000 0.750
Ac 0.713 0.702 0.750
Pr 0.578 0.000 0.250
Ho 0.000 0.000 0.000
Dy 0.814 0.500 0.250
Ac 0.287 0.298 0.250
Dy 0.186 0.500 0.750
Ac 0.287 0.702 0.250
Ho 0.000 0.000 0.500
Ac 0.713 0.298 0.750

Symmetry: Pmma
ΔE_f, kJ/mol of atoms: 26.0


# 6
A relaxed Pm6Ag2Os crystal, computed with GGA-PBE.

Cell lengths 8.684, 8.684, 8.684 Å; angles 72.02, 71.00, 111.45 degrees
Element x y z (fractional)
Ag 0.645 0.000 0.355
Pm 0.665 0.938 0.728
Pm 0.083 0.266 0.183
Pm 0.167 0.752 0.081
Os 0.500 0.500 0.000
Ag 0.862 0.362 0.500
Ag 0.355 0.000 0.645
Pm 0.167 0.248 0.585
Ag 0.138 0.638 0.500
Pm 0.917 0.734 0.817
Pm 0.665 0.393 0.272
Pm 0.833 0.752 0.415
Pm 0.335 0.062 0.272
Pm 0.335 0.607 0.728
Pm 0.551 0.734 0.183
Pm 0.449 0.266 0.817
Os 0.000 0.000 0.000
Pm 0.833 0.248 0.919

Symmetry: Immm
ΔE_f, kJ/mol of atoms: -10.1


# 7
A relaxed Tb3CeY6Sc2 crystal, computed with GGA-PBE.

Cell lengths 6.091, 6.091, 11.678 Å; angles 94.98, 94.98, 119.98 degrees
Element x y z (fractional)
Ce 0.000 0.000 0.000
Y 0.918 0.584 0.755
Sc 0.667 0.333 0.000
Y 0.749 0.749 0.245
Y 0.082 0.416 0.245
Y 0.251 0.251 0.755
Tb 0.168 0.832 0.500
Y 0.584 0.918 0.755
Sc 0.333 0.667 0.000
Tb 0.500 0.500 0.500
Tb 0.832 0.168 0.500
Y 0.416 0.082 0.245

Symmetry: C2/m
ΔE_f, kJ/mol of atoms: 5.7


# 8
A relaxed HgRu2CSe crystal, computed with GGA-PBE.

Cell lengths 5.176, 4.999, 5.176 Å; angles 90.00, 90.00, 90.00 degrees
Element x y z (fractional)
Ru 0.000 0.000 0.500
Hg 0.000 0.000 0.000
Ru 0.500 0.000 0.000
C 0.500 0.500 0.500
Se 0.000 0.500 0.000

Total energy, eV/atom: -3.193
Symmetry: P4/mmm


no.,magnetization (μB/f.u.)
1,0.000
2,0.987
3,0.000
4,0.556
5,0.000
6,0.000
7,1.076
8,3.678